# ReNiBP2 (PBE-GGA, relaxed)
data_ReNiBP2
_chemical_formula_sum 'Re1 Ni1 B1 P2'
_space_group_name_H-M_alt 'P 1'
_space_group_IT_number 1
_cell_length_a 3.0574
_cell_length_b 3.9474
_cell_length_c 5.9535
_cell_angle_alpha 78.14
_cell_angle_beta 75.77
_cell_angle_gamma 82.89
loop_
_space_group_symop_operation_xyz
'x,y,z'
loop_
_atom_site_label
_atom_site_type_symbol
_atom_site_fract_x
_atom_site_fract_y
_atom_site_fract_z
B1 B 0.8376 0.4766 0.6120
Re1 Re 0.0587 0.4218 0.2340
P1 P 0.4559 0.8743 0.2568
Ni1 Ni 0.4174 0.0843 0.5819
P2 P 0.2386 0.5446 0.8031
# Symmetry: P1, No. 1
# DFT formation energy, meV per atom: -18
# Raw total energy, eV per atom: -7.164
# Total moment, μB/cell: 0.00



# TeSe2 (PBE-GGA, relaxed)
data_TeSe2
_chemical_formula_sum 'Te2 Se4'
_space_group_name_H-M_alt 'P 1'
_space_group_IT_number 1
_cell_length_a 12.0203
_cell_length_b 12.0203
_cell_length_c 12.0203
_cell_angle_alpha 162.77
_cell_angle_beta 162.77
_cell_angle_gamma 24.46
loop_
_space_group_symop_operation_xyz
'x,y,z'
loop_
_atom_site_label
_atom_site_type_symbol
_atom_site_fract_x
_atom_site_fract_y
_atom_site_fract_z
Te1 Te 0.0000 0.0000 0.0000
Se1 Se 0.3368 0.8368 0.5000
Se2 Se 0.1632 0.6632 0.5000
Se3 Se 0.4132 0.4132 0.0000
Te2 Te 0.7500 0.2500 0.5000
Se4 Se 0.5868 0.5868 0.0000
# Energy relative to the elements, uncorrected, eV per atom: 0.292
# Symmetry: I4_1/amd, No. 141
# Raw total energy, eV per atom: -3.078
# Total moment, μB/cell: 0.00



# SrTeP (PBE-GGA, relaxed)
data_SrTeP
_chemical_formula_sum 'Sr1 Te1 P1'
_space_group_name_H-M_alt 'P 1'
_space_group_IT_number 1
_cell_length_a 6.2728
_cell_length_b 6.2728
_cell_length_c 6.2728
_cell_angle_alpha 140.38
_cell_angle_beta 140.38
_cell_angle_gamma 57.27
loop_
_space_group_symop_operation_xyz
'x,y,z'
loop_
_atom_site_label
_atom_site_type_symbol
_atom_site_fract_x
_atom_site_fract_y
_atom_site_fract_z
Sr1 Sr 0.3655 0.3655 0.0000
Te1 Te 0.7043 0.7043 0.0000
P1 P 0.9302 0.9302 0.0000
# Energy relative to the elements, uncorrected, eV per atom: -0.660
# Symmetry: I4mm, No. 107
# Raw total energy, eV per atom: -4.071
# Total moment, μB/cell: 0.00